# 1
Entry from the Alexandria database: a relaxed BaLi2TbI8 crystal (PBE).

Theoretical density ... 4.44 g/cm3
ΔE_f (raw) ... -1.16 eV/atom

a = 7.6291 Å, b = 7.6291 Å, c = 9.8357 Å
α = 90.00°, β = 90.00°, γ = 120.00°
Space group P-3 (No. 147)
Inequivalent atoms, fractional coordinates:
Ba1 0.0000 0.0000 0.0000
Li1 0.3333 0.6667 0.7224
Tb1 0.0000 0.0000 0.5000
I1 0.0204 0.6992 0.3083
I2 0.3333 0.6667 0.9980

---

# 2
Entry from the Alexandria database: a relaxed LiRhAu2 crystal (PBE).

Formation energy ... -0.6 eV/f.u.
Theoretical density ... 13.31 g/cm3

a = 2.7950 Å, b = 2.7950 Å, c = 8.0428 Å
α = 90.00°, β = 90.00°, γ = 90.00°
Space group P4/mmm (No. 123)
Inequivalent atoms, fractional coordinates:
Li1 0.0000 0.0000 0.0000
Rh1 0.0000 0.0000 0.5000
Au1 0.5000 0.5000 0.2409

---

# 3
Entry from the Alexandria database: a relaxed TlRh2Au2 crystal (PBE).

Relative energy among the computed polymorphs ... 0.60 eV/f.u.
Formation energy ... 1.6 eV/f.u.
Theoretical density ... 14.22 g/cm3

a = 8.0970 Å, b = 8.0970 Å, c = 2.8644 Å
α = 90.00°, β = 90.00°, γ = 90.00°
Space group P4/mbm (No. 127)
Inequivalent atoms, fractional coordinates:
Tl1 0.0000 0.0000 0.0000
Rh1 0.1185 0.3815 0.5000
Au1 0.1763 0.6763 0.0000

---

no.,N(E_F) (states/eV/f.u.)
1,16.60
2,3.12
3,6.50